Record 1
A relaxed ZnIn3Au3 crystal. Source: Alexandria, functional GGA-PBE.

POSCAR file:
```
ZnIn3Au3
1.0
7.380 0.105 0.421
-3.194 6.654 0.421
-0.215 -0.347 6.532
Zn Au In
2 6 6
Direct
0.235 0.235 0.170
0.765 0.765 0.830
0.485 0.832 0.641
0.515 0.168 0.359
0.903 0.903 0.185
0.097 0.097 0.815
0.168 0.515 0.359
0.832 0.485 0.641
0.768 0.232 0.000
0.137 0.863 0.500
0.427 0.427 0.728
0.863 0.137 0.500
0.232 0.768 0.000
0.573 0.573 0.272
```

Calculated values
Energy = -2.868 eV/atom
Total moment = 0.00 μB per formula unit
Space group = C2/m (12)



Record 2
A relaxed KNaTe2Pb crystal. Source: Alexandria, functional GGA-PBE.

POSCAR file:
```
KNaTe2Pb
1.0
-2.879 1.265 -3.919
-3.676 -7.454 3.516
-5.095 6.630 5.884
Te Na Pb K
4 2 2 2
Direct
0.352 0.704 0.668
0.126 0.253 0.912
0.648 0.296 0.332
0.874 0.747 0.088
0.310 0.619 0.946
0.690 0.381 0.054
0.937 0.874 0.809
0.063 0.126 0.191
0.312 0.624 0.328
0.688 0.376 0.672
```

Calculated values
Energy = -3.180 eV/atom
Total moment = 0.00 μB per formula unit
Space group = C2/m (12)



Record 3
A relaxed Ba2SrY2Cu2PtO10 crystal. Source: Alexandria, functional GGA-PBE.

POSCAR file:
```
Ba2SrY2Cu2PtO10
1.0
6.902 -0.006 0.006
4.478 5.253 0.006
1.808 0.834 7.217
O Ba Sr Y Cu Pt
10 2 1 2 2 1
Direct
0.832 0.832 0.053
0.244 0.793 0.780
0.756 0.207 0.220
0.207 0.756 0.220
0.062 0.589 0.616
0.589 0.062 0.616
0.411 0.938 0.384
0.793 0.244 0.780
0.168 0.168 0.947
0.938 0.411 0.384
0.651 0.651 0.969
0.349 0.349 0.031
0.500 0.500 0.500
0.810 0.810 0.375
0.190 0.190 0.625
0.084 0.084 0.308
0.916 0.916 0.692
0.000 0.000 0.000
```

Calculated values
Energy = -6.718 eV/atom
Total moment = 2.00 μB per formula unit
Space group = C2/m (12)



Record 4
A relaxed CsAl2Cu2 crystal. Source: Alexandria, functional GGA-PBE.

POSCAR file:
```
CsAl2Cu2
1.0
4.429 0.000 0.000
0.000 4.429 0.000
2.215 2.215 6.935
Cu Cs Al
2 1 2
Direct
0.676 0.676 0.649
0.324 0.324 0.351
0.000 0.000 0.000
0.250 0.750 0.500
0.750 0.250 0.500
```

Calculated values
E above lowest polymorph = 0 meV per atom
Total moment = 0.00 μB per formula unit
Space group = I4/mmm (139)